## TaAgW2 (PBE)

Data for a geometry-optimized TaAgW2 structure.

Cell and atoms, written as extended XYZ:
```
4
Lattice="0.0000 3.2387 3.2387 3.2387 0.0000 3.2387 3.2387 3.2387 0.0000" Properties=species:S:1:pos:R:3 pbc="T T T"
Ta 3.2387 3.2387 3.2387
W 4.8581 4.8581 4.8581
Ag 0.0000 0.0000 0.0000
W 1.6194 1.6194 1.6194
```

## Properties
SG	Fm-3m
E	-9.506	eV per atom
magnetization	0.00	μB per cell
calculated formation energy	0.6465	eV per atom